(1)
# ScBe2Rh | Alexandria | GGA-PBE | optimized geometry
# final energy: -5.6027 eV/atom
# ΔE_f: -1.28 eV per formula unit
# relative energy among the computed polymorphs: 115.1 meV/atom
data_ScBe2Rh
_chemical_formula_sum 'Sc1 Be2 Rh1'
_space_group_name_H-M_alt 'P 4 m m'
_space_group_IT_number 99
_cell_length_a 2.952
_cell_length_b 2.952
_cell_length_c 6.093
_cell_angle_alpha 90.00
_cell_angle_beta 90.00
_cell_angle_gamma 90.00
loop_
_space_group_symop_operation_xyz
'x,y,z'
'-y,x,z'
'-x,-y,z'
'y,-x,z'
'-x,y,z'
'y,x,z'
'x,-y,z'
'-y,-x,z'
loop_
_atom_site_label
_atom_site_fract_x
_atom_site_fract_y
_atom_site_fract_z
Sc1 0.000 0.000 0.000
Be1 0.000 0.000 0.505
Be2 0.500 0.500 0.320
Rh1 0.500 0.500 0.700



(2)
# ScBeRh3 | Alexandria | GGA-PBE | optimized geometry
# final energy: -5.3402 eV/atom
# ΔE_f: 5.41 eV per formula unit
# relative energy among the computed polymorphs: 1581.8 meV/atom
data_ScBeRh3
_chemical_formula_sum 'Sc1 Be1 Rh3'
_space_group_name_H-M_alt 'P m -3 m'
_space_group_IT_number 221
_space_group_name_Hall '-P 4 2 3'
_cell_length_a 4.593
_cell_length_b 4.593
_cell_length_c 4.593
_cell_angle_alpha 90.00
_cell_angle_beta 90.00
_cell_angle_gamma 90.00
loop_
_atom_site_label
_atom_site_fract_x
_atom_site_fract_y
_atom_site_fract_z
Sc1 0.000 0.000 0.000
Be1 0.500 0.500 0.500
Rh1 0.000 0.000 0.500



(3)
# ScBe3Rh | Alexandria | GGA-PBE | optimized geometry
# final energy: -3.0749 eV/atom
# ΔE_f: 9.49 eV per formula unit
# relative energy among the computed polymorphs: 1992.0 meV/atom
data_ScBe3Rh
_chemical_formula_sum 'Sc1 Be3 Rh1'
_space_group_name_H-M_alt 'P m -3 m'
_space_group_IT_number 221
_space_group_name_Hall '-P 4 2 3'
_cell_length_a 4.260
_cell_length_b 4.260
_cell_length_c 4.260
_cell_angle_alpha 90.00
_cell_angle_beta 90.00
_cell_angle_gamma 90.00
loop_
_atom_site_label
_atom_site_fract_x
_atom_site_fract_y
_atom_site_fract_z
Sc1 0.000 0.000 0.000
Be1 0.000 0.000 0.500
Rh1 0.500 0.500 0.500



(4)
# ScBe2Rh | Alexandria | GGA-PBE | optimized geometry
# final energy: -5.6894 eV/atom
# ΔE_f: -1.62 eV per formula unit
# relative energy among the computed polymorphs: 28.5 meV/atom
data_ScBe2Rh
_chemical_formula_sum 'Sc1 Be2 Rh1'
_space_group_name_H-M_alt 'P m m m'
_space_group_IT_number 47
_cell_length_a 2.927
_cell_length_b 2.938
_cell_length_c 6.062
_cell_angle_alpha 90.00
_cell_angle_beta 90.00
_cell_angle_gamma 90.00
loop_
_space_group_symop_operation_xyz
'x,y,z'
'-x,-y,-z'
'-x,-y,z'
'x,y,-z'
'x,-y,-z'
'-x,y,z'
'-x,y,-z'
'x,-y,z'
loop_
_atom_site_label
_atom_site_fract_x
_atom_site_fract_y
_atom_site_fract_z
Sc1 0.000 0.000 0.000
Be1 0.500 0.500 0.312
Rh1 0.000 0.000 0.500



(5)
# ScBe2Rh | Alexandria | GGA-PBE | optimized geometry
# final energy: -5.5288 eV/atom
# ΔE_f: -0.98 eV per formula unit
# relative energy among the computed polymorphs: 189.0 meV/atom
data_ScBe2Rh
_chemical_formula_sum 'Sc1 Be2 Rh1'
_space_group_name_H-M_alt 'P 4/m m m'
_space_group_IT_number 123
_space_group_name_Hall '-P 4 2'
_cell_length_a 3.663
_cell_length_b 3.663
_cell_length_c 3.971
_cell_angle_alpha 90.00
_cell_angle_beta 90.00
_cell_angle_gamma 90.00
loop_
_atom_site_label
_atom_site_fract_x
_atom_site_fract_y
_atom_site_fract_z
Sc1 0.000 0.000 0.000
Be1 0.000 0.500 0.500
Rh1 0.500 0.500 0.000



(6)
# ScBe4Rh | Alexandria | GGA-PBE | optimized geometry
# final energy: -5.3082 eV/atom
# ΔE_f: -3.26 eV per formula unit
data_ScBe4Rh
_chemical_formula_sum 'Sc4 Be16 Rh4'
_space_group_name_H-M_alt 'F -4 3 m'
_space_group_IT_number 216
_space_group_name_Hall 'F -4 2 3'
_cell_length_a 6.373
_cell_length_b 6.373
_cell_length_c 6.373
_cell_angle_alpha 90.00
_cell_angle_beta 90.00
_cell_angle_gamma 90.00
loop_
_atom_site_label
_atom_site_fract_x
_atom_site_fract_y
_atom_site_fract_z
Sc1 0.000 0.000 0.000
Be1 0.123 0.123 0.623
Rh1 0.250 0.250 0.250



(7)
# Sc3Be2Rh5 | Alexandria | GGA-PBE | optimized geometry
# final energy: -7.1870 eV/atom
# ΔE_f: -8.67 eV per formula unit
data_Sc3Be2Rh5
_chemical_formula_sum 'Sc6 Be4 Rh10'
_space_group_name_H-M_alt 'P 4/m b m'
_space_group_IT_number 127
_space_group_name_Hall '-P 4 2ab'
_cell_length_a 9.590
_cell_length_b 9.590
_cell_length_c 3.164
_cell_angle_alpha 90.00
_cell_angle_beta 90.00
_cell_angle_gamma 90.00
loop_
_atom_site_label
_atom_site_fract_x
_atom_site_fract_y
_atom_site_fract_z
Sc1 0.000 0.000 0.000
Sc2 0.175 0.325 0.000
Be1 0.122 0.622 0.000
Rh1 0.000 0.500 0.500
Rh2 0.072 0.785 0.500



(8)
# ScBe2Rh | Alexandria | GGA-PBE | optimized geometry
# final energy: -5.6945 eV/atom
# ΔE_f: -1.64 eV per formula unit
# relative energy among the computed polymorphs: 23.4 meV/atom
data_ScBe2Rh
_chemical_formula_sum 'Sc1 Be2 Rh1'
_space_group_name_H-M_alt 'P 1 m 1'
_space_group_IT_number 6
_cell_length_a 3.004
_cell_length_b 3.548
_cell_length_c 5.062
_cell_angle_alpha 90.00
_cell_angle_beta 107.22
_cell_angle_gamma 90.00
loop_
_space_group_symop_operation_xyz
'x,y,z'
'x,-y,z'
loop_
_atom_site_label
_atom_site_fract_x
_atom_site_fract_y
_atom_site_fract_z
Sc1 0.000 0.000 0.000
Be1 0.625 0.500 0.249
Be2 0.734 0.000 0.472
Rh1 0.315 0.500 0.632



(9)
# ScBe9Rh2 | Alexandria | GGA-PBE | optimized geometry
# final energy: -4.9443 eV/atom
# ΔE_f: -4.76 eV per formula unit
data_ScBe9Rh2
_chemical_formula_sum 'Sc2 Be18 Rh4'
_space_group_name_H-M_alt 'P 63/m m c'
_space_group_IT_number 194
_space_group_name_Hall '-P 6c 2c'
_cell_length_a 4.3949
_cell_length_b 4.3949
_cell_length_c 14.0663
_cell_angle_alpha 90.00
_cell_angle_beta 90.00
_cell_angle_gamma 120.00
loop_
_atom_site_label
_atom_site_fract_x
_atom_site_fract_y
_atom_site_fract_z
Sc1 0.3333 0.6667 0.2500
Be1 0.0000 0.0000 0.0000
Be2 0.0000 0.0000 0.2500
Be3 0.1696 0.3392 0.6197
Be4 0.3333 0.6667 0.7500
Rh1 0.3333 0.6667 0.0414



(10)
# Sc3BeRh | Alexandria | GGA-PBE | optimized geometry
# final energy: -5.7638 eV/atom
# ΔE_f: 1.25 eV per formula unit
# relative energy among the computed polymorphs: 62.0 meV/atom
data_Sc3BeRh
_chemical_formula_sum 'Sc3 Be1 Rh1'
_space_group_name_H-M_alt 'P m -3 m'
_space_group_IT_number 221
_space_group_name_Hall '-P 4 2 3'
_cell_length_a 4.669
_cell_length_b 4.669
_cell_length_c 4.669
_cell_angle_alpha 90.00
_cell_angle_beta 90.00
_cell_angle_gamma 90.00
loop_
_atom_site_label
_atom_site_fract_x
_atom_site_fract_y
_atom_site_fract_z
Sc1 0.000 0.000 0.500
Be1 0.000 0.000 0.000
Rh1 0.500 0.500 0.500



(11)
# ScBe2Rh | Alexandria | GGA-PBE | optimized geometry
# final energy: -5.3760 eV/atom
# ΔE_f: -0.37 eV per formula unit
# relative energy among the computed polymorphs: 341.8 meV/atom
data_ScBe2Rh
_chemical_formula_sum 'Sc4 Be8 Rh4'
_space_group_name_H-M_alt 'I 41/a m d'
_space_group_IT_number 141
_cell_length_a 3.991
_cell_length_b 3.991
_cell_length_c 15.762
_cell_angle_alpha 90.00
_cell_angle_beta 90.00
_cell_angle_gamma 90.00
loop_
_space_group_symop_operation_xyz
'x,y,z'
'-x,-y,-z'
'-y+1/4,x+3/4,z+1/4'
'y+1/4,-x+3/4,-z+1/4'
'-x+1/2,-y,z+1/2'
'x+1/2,y,-z+1/2'
'y+1/4,-x+1/4,z+3/4'
'-y+1/4,x+1/4,-z+3/4'
'x,-y,-z'
'-x,y,z'
'-y+1/4,-x+1/4,-z+3/4'
'y+1/4,x+1/4,z+3/4'
'-x+1/2,y,-z+1/2'
'x+1/2,-y,z+1/2'
'y+1/4,x+3/4,-z+1/4'
'-y+1/4,-x+3/4,z+1/4'
'x+1/2,y+1/2,z+1/2'
'-x+1/2,-y+1/2,-z+1/2'
'-y+3/4,x+1/4,z+3/4'
'y+3/4,-x+1/4,-z+3/4'
'-x,-y+1/2,z'
'x,y+1/2,-z'
'y+3/4,-x+3/4,z+1/4'
'-y+3/4,x+3/4,-z+1/4'
'x+1/2,-y+1/2,-z+1/2'
'-x+1/2,y+1/2,z+1/2'
'-y+3/4,-x+3/4,-z+1/4'
'y+3/4,x+3/4,z+1/4'
'-x,y+1/2,-z'
'x,-y+1/2,z'
'y+3/4,x+1/4,-z+3/4'
'-y+3/4,-x+1/4,z+3/4'
loop_
_atom_site_label
_atom_site_fract_x
_atom_site_fract_y
_atom_site_fract_z
Sc1 0.000 0.250 0.375
Be1 0.000 0.000 0.000
Rh1 0.000 0.250 0.875



(12)
# ScBe3Rh | Alexandria | GGA-PBE | optimized geometry
# final energy: -5.0669 eV/atom
# ΔE_f: -0.47 eV per formula unit
# relative energy among the computed polymorphs: 0.0 meV/atom
data_ScBe3Rh
_chemical_formula_sum 'Sc1 Be3 Rh1'
_space_group_name_H-M_alt 'P m -3 m'
_space_group_IT_number 221
_space_group_name_Hall '-P 4 2 3'
_cell_length_a 4.154
_cell_length_b 4.154
_cell_length_c 4.154
_cell_angle_alpha 90.00
_cell_angle_beta 90.00
_cell_angle_gamma 90.00
loop_
_atom_site_label
_atom_site_fract_x
_atom_site_fract_y
_atom_site_fract_z
Sc1 0.000 0.000 0.000
Be1 0.000 0.500 0.500
Rh1 0.500 0.500 0.500